1.
The following is a PBE calculation of an optimized crystal structure of CeSmTePb, from the Alexandria database.

Geometry as POSCAR:
```
CeSmTePb
1.0
2.261 1.306 7.369
-2.261 1.306 7.369
0.000 -2.611 7.369
Ce Sm Te Pb
1 1 1 1
Cartesian
0.000 0.000 0.000
0.000 0.000 10.984
0.000 0.000 5.476
0.000 0.000 16.547
```

Results
Space group: No. 160
Calculated volume (Å³/cell): 130.5
D(E_F) (states/eV/cell): 7.38
Energy above the lowest structure with this stoichiometry (eV/atom): 0.000
Crystal system: trigonal
Total magnetization (μB per cell): 0.81


2.
The following is a PBE calculation of an optimized crystal structure of CeSmTePb, from the Alexandria database.

Geometry as POSCAR:
```
CeSmTePb
1.0
0.000 3.887 3.887
3.887 0.000 3.887
3.887 3.887 0.000
Ce Sm Te Pb
1 1 1 1
Cartesian
0.000 0.000 0.000
3.887 3.887 3.887
5.830 5.830 5.830
1.943 1.943 1.943
```

Results
Space group: No. 216
Calculated volume (Å³/cell): 117.5
D(E_F) (states/eV/cell): 6.80
Energy above the lowest structure with this stoichiometry (eV/atom): 0.189
Crystal system: cubic
Total magnetization (μB per cell): 1.05


3.
The following is a PBE calculation of an optimized crystal structure of CeSmTmPb, from the Alexandria database.

Geometry as POSCAR:
```
CeSmTmPb
1.0
0.000 3.859 3.859
3.859 0.000 3.859
3.859 3.859 0.000
Ce Sm Tm Pb
1 1 1 1
Cartesian
0.000 0.000 0.000
5.789 5.789 5.789
1.930 1.930 1.930
3.859 3.859 3.859
```

Results
Space group: No. 216
Calculated volume (Å³/cell): 115.0
D(E_F) (states/eV/cell): 8.02
Formation energy from the elements (eV per atom): -0.05
Crystal system: cubic
Total magnetization (μB per cell): 0.64


4.
The following is a PBE calculation of an optimized crystal structure of CeSmZnPb, from the Alexandria database.

Geometry as POSCAR:
```
CeSmZnPb
1.0
0.000 3.795 3.795
3.795 0.000 3.795
3.795 3.795 0.000
Ce Sm Zn Pb
1 1 1 1
Cartesian
0.000 0.000 0.000
3.795 3.795 3.795
1.897 1.897 1.897
5.692 5.692 5.692
```

Results
Space group: No. 216
Calculated volume (Å³/cell): 109.3
D(E_F) (states/eV/cell): 9.21
Formation energy from the elements (eV per atom): -0.32
Crystal system: cubic
Total magnetization (μB per cell): 1.06


5.
The following is a PBE calculation of an optimized crystal structure of Ce2SmZn2Pb2, from the Alexandria database.

Geometry as POSCAR:
```
Ce2SmZn2Pb2
1.0
2.315 1.336 9.615
-2.315 1.336 9.615
0.000 -2.673 9.615
Ce Sm Zn Pb
2 1 2 2
Cartesian
0.000 0.000 4.162
0.000 0.000 24.684
0.000 0.000 0.000
0.000 0.000 12.335
0.000 0.000 16.510
0.000 0.000 7.793
0.000 0.000 21.052
```

Results
Space group: No. 166
Calculated volume (Å³/cell): 178.5
D(E_F) (states/eV/cell): 11.95
Formation energy from the elements (eV per atom): -0.20
Crystal system: trigonal
Total magnetization (μB per cell): 2.44


6.
The following is a PBE calculation of an optimized crystal structure of Ce8Sn2Pb3, from the Alexandria database.

Geometry as POSCAR:
```
Ce8Sn2Pb3
1.0
7.273 -4.672 0.000
7.273 4.672 0.000
-1.843 0.000 5.815
Ce Sn Pb
8 2 3
Cartesian
3.813 2.900 5.470
1.279 0.000 2.342
8.890 2.900 0.345
4.034 0.000 2.617
8.669 0.000 3.198
3.813 -2.900 5.470
11.425 0.000 3.473
8.890 -2.900 0.345
2.284 0.000 5.309
10.419 0.000 0.506
6.352 2.302 2.908
7.273 0.000 0.000
6.352 -2.302 2.908
```

Results
Space group: No. 12
Calculated volume (Å³/cell): 395.2
D(E_F) (states/eV/cell): 30.88
Formation energy from the elements (eV per atom): -0.21
Crystal system: monoclinic
Total magnetization (μB per cell): 2.97


7.
The following is a PBE calculation of an optimized crystal structure of Ce7SnPb3, from the Alexandria database.

Geometry as POSCAR:
```
Ce7SnPb3
1.0
-3.075 4.621 6.111
3.075 -4.621 6.111
3.075 4.621 -6.111
Ce Sn Pb
7 1 3
Cartesian
0.000 0.000 0.000
3.075 -1.329 3.096
3.075 3.229 0.000
3.075 1.329 3.096
0.000 3.293 3.014
0.000 1.392 6.111
0.000 5.950 3.014
3.075 0.000 0.000
0.000 0.000 3.173
0.000 4.621 0.000
0.000 0.000 9.048
```

Results
Space group: No. 71
Calculated volume (Å³/cell): 347.4
D(E_F) (states/eV/cell): 32.17
Formation energy from the elements (eV per atom): -0.27
Crystal system: orthorhombic
Total magnetization (μB per cell): 6.06


8.
The following is a PBE calculation of an optimized crystal structure of Ce12Sn3Pb, from the Alexandria database.

Geometry as POSCAR:
```
Ce12Sn3Pb
1.0
4.805 0.000 0.000
0.000 4.805 0.000
0.000 0.000 19.223
Ce Sn Pb
12 3 1
Cartesian
0.000 0.000 0.000
0.000 0.000 4.779
0.000 0.000 9.611
0.000 0.000 14.444
0.000 2.402 2.391
0.000 2.402 7.157
0.000 2.402 12.066
0.000 2.402 16.832
2.402 0.000 2.391
2.402 0.000 7.157
2.402 0.000 12.066
2.402 0.000 16.832
2.402 2.402 0.000
2.402 2.402 4.783
2.402 2.402 14.439
2.402 2.402 9.611
```

Results
Space group: No. 123
Calculated volume (Å³/cell): 443.7
D(E_F) (states/eV/cell): 48.44
Formation energy from the elements (eV per atom): -0.37
Crystal system: tetragonal
Total magnetization (μB per cell): 10.92